Entry from the Alexandria database: SbTePd4 after structural relaxation (GGA-PBE).

Results
excess energy over the best structure of this formula in the dataset: 39.5 meV/atom
crystal system: monoclinic
E_tot: -59.628 eV per cell
calculated volume: 18.51 A^3/atom
E_form (uncorrected): -296.4 meV/atom

abc: 6.603 6.180 6.180
angles: 110.58 101.11 101.11
Element x y z (fractional)
Pd 0.561 0.200 0.412
Pd 0.605 0.317 0.914
Te 0.250 0.038 0.962
Pd 0.395 0.683 0.086
Te 0.750 0.962 0.038
Pd 0.105 0.914 0.317
Pd 0.439 0.800 0.588
Sb 0.750 0.619 0.381
Pd 0.061 0.412 0.200
Sb 0.250 0.381 0.619
Pd 0.939 0.588 0.800
Pd 0.895 0.086 0.683


Entry from the Alexandria database: Sb2Te2Pd3 after structural relaxation (GGA-PBE).

Results
excess energy over the best structure of this formula in the dataset: 0.0 meV/atom
crystal system: monoclinic
E_tot: -65.055 eV per cell
calculated volume: 23.51 A^3/atom
E_form (uncorrected): -345.9 meV/atom

abc: 7.229 6.963 6.768
angles: 75.07 90.00 90.00
Element x y z (fractional)
Pd 0.498 0.229 0.737
Te 0.828 0.899 0.370
Sb 0.665 0.873 0.877
Te 0.672 0.399 0.370
Pd 0.002 0.729 0.737
Te 0.328 0.601 0.630
Pd 0.500 0.500 0.000
Te 0.172 0.101 0.630
Sb 0.165 0.627 0.123
Sb 0.335 0.127 0.123
Pd 0.998 0.271 0.263
Sb 0.835 0.373 0.877
Pd 0.502 0.771 0.263
Pd 0.000 0.000 0.000